# 1
Entry from Alexandria via LeMat-Bulk: a relaxed Ce5HoIr5 crystal (PBE).

Cell: 6.9329 6.9329 8.1100 Å, 107.04 107.04 48.31°
Closest atoms and distances in Å follow each position.
Element x y z (fractional)
1 Ce 0.0000 0.0000 0.0000  4 Ir 2.75-2.82
2 Ce 0.3285 0.3285 0.1717  5 Ir 2.77-2.84
3 Ce 0.3294 0.3294 0.6572  5 Ir 2.84-2.88
4 Ce 0.6706 0.6706 0.3428  5 Ir 2.84-2.88
5 Ce 0.6715 0.6715 0.8283  5 Ir 2.77-2.84
6 Ho 0.0000 0.0000 0.5000  6 Ir 2.84-2.90
7 Ir 0.1609 0.1609 0.3230  5 Ce 2.75-2.86, 1 Ho 2.84
8 Ir 0.1685 0.1685 0.8409  5 Ce 2.79-2.88, 1 Ho 2.90
9 Ir 0.5000 0.5000 0.5000  2 Ho 2.84, 4 Ce 2.84
10 Ir 0.8315 0.8315 0.1591  5 Ce 2.79-2.88, 1 Ho 2.90
11 Ir 0.8391 0.8391 0.6770  5 Ce 2.75-2.86, 1 Ho 2.84

## Properties
Total energy, eV/f.u.: -85.76
Volume, Å³/cell: 275.69
E_form, eV per atom: -0.656

***

# 2
Entry from Alexandria via LeMat-Bulk: a relaxed LiCeHoIr crystal (PBE).

Cell: 4.9555 4.9555 4.9555 Å, 60.00 60.00 60.00°
Closest atoms and distances in Å follow each position.
Element x y z (fractional)
1 Li 0.0000 0.0000 0.0000  4 Ce 3.03, 4 Ho 3.03
2 Ce 0.2500 0.2500 0.2500  4 Li 3.03, 4 Ir 3.03
3 Ho 0.7500 0.7500 0.7500  4 Ir 3.03, 4 Li 3.03
4 Ir 0.5000 0.5000 0.5000  4 Ce 3.03, 4 Ho 3.03

## Properties
Total energy, eV/f.u.: -23.03
Volume, Å³/cell: 86.05
E_form, eV per atom: -0.436

***

# 3
Entry from Alexandria via LeMat-Bulk: a relaxed CeHo2IrN4 crystal (PBE).

Cell: 6.0794 6.0794 11.5845 Å, 90.00 90.00 147.87°
Closest atoms and distances in Å follow each position.
Element x y z (fractional)
1 Ce 0.1146 0.8854 0.7500  6 N 2.49-2.52
2 Ce 0.8854 0.1146 0.2500  6 N 2.49-2.52
3 Ho 0.3710 0.6290 0.5464  4 N 2.32-2.57
4 Ho 0.3710 0.6290 0.9536  4 N 2.32-2.57
5 Ho 0.6290 0.3710 0.0464  4 N 2.32-2.57
6 Ho 0.6290 0.3710 0.4536  4 N 2.32-2.57
7 Ir 0.1460 0.8540 0.2500  4 N 2.07
8 Ir 0.8540 0.1460 0.7500  4 N 2.07
9 N 0.0000 0.0000 0.0000  4 Ho 2.32
10 N 0.0000 0.0000 0.5000  4 Ho 2.32
11 N 0.2769 0.7231 0.1299  1 Ir 2.07
12 N 0.2769 0.7231 0.3701  1 Ir 2.07
13 N 0.4579 0.5421 0.7500  2 Ir 2.07
14 N 0.5421 0.4579 0.2500  2 Ir 2.07
15 N 0.7231 0.2769 0.6299  1 Ir 2.07
16 N 0.7231 0.2769 0.8701  1 Ir 2.07

## Properties
Total energy, eV/f.u.: -65.53
Formation energy from raw total energies, eV/atom: -1.03
Volume, Å³/cell: 227.73

***

# 4
Entry from Alexandria via LeMat-Bulk: a relaxed CeHoIrO6 crystal (PBE).

Cell: 5.5025 5.5025 9.5735 Å, 90.00 90.00 120.00°
Closest atoms and distances in Å follow each position.
Element x y z (fractional)
1 Ce 0.3333 0.6667 0.2500  6 O 2.27
2 Ce 0.6667 0.3333 0.7500  6 O 2.27
3 Ho 0.0000 0.0000 0.0000  6 O 2.29
4 Ho 0.0000 0.0000 0.5000  6 O 2.29
5 Ir 0.3333 0.6667 0.7500  6 O 1.99
6 Ir 0.6667 0.3333 0.2500  6 O 1.99
7 O 0.0388 0.3626 0.6334  1 Ir 1.99
8 O 0.0388 0.6763 0.8666  1 Ir 1.99
9 O 0.3237 0.3626 0.8666  1 Ir 1.99
10 O 0.3237 0.9612 0.6334  1 Ir 1.99
11 O 0.3626 0.0388 0.1334  1 Ir 1.99
12 O 0.3626 0.3237 0.3666  1 Ir 1.99
13 O 0.6374 0.6763 0.6334  1 Ir 1.99
14 O 0.6374 0.9612 0.8666  1 Ir 1.99
15 O 0.6763 0.0388 0.3666  1 Ir 1.99
16 O 0.6763 0.6374 0.1334  1 Ir 1.99
17 O 0.9612 0.3237 0.1334  1 Ir 1.99
18 O 0.9612 0.6374 0.3666  1 Ir 1.99

## Properties
Total energy, eV/f.u.: -69.97
Formation energy from raw total energies, eV/atom: -2.32
Volume, Å³/cell: 251.02

***

# 5
Entry from Alexandria via LeMat-Bulk: a relaxed Ce2HoP3Ir4 crystal (PBE).

Cell: 4.0048 4.0048 11.3091 Å, 90.00 90.00 90.00°
Closest atoms and distances in Å follow each position.
Element x y z (fractional)
1 Ce 0.0000 0.5000 0.2284  8 Ir 3.04-3.27, 4 P 3.08
2 Ce 0.5000 0.0000 0.7716  8 Ir 3.04-3.27, 4 P 3.08
3 Ho 0.0000 0.0000 0.5000  4 Ir 2.80, 4 P 2.83
4 P 0.0000 0.5000 0.8784  5 Ir 2.32-2.43
5 P 0.5000 0.0000 0.1216  5 Ir 2.32-2.43
6 P 0.5000 0.5000 0.5000  4 Ir 2.80, 4 Ho 2.83
7 Ir 0.0000 0.0000 0.0000  4 P 2.43
8 Ir 0.0000 0.5000 0.6736  1 P 2.32
9 Ir 0.5000 0.0000 0.3264  1 P 2.32
10 Ir 0.5000 0.5000 0.0000  4 P 2.43

## Properties
Total energy, eV/f.u.: -77.70
Volume, Å³/cell: 181.38
E_form, eV per atom: -0.958

***

# 6
Entry from Alexandria via LeMat-Bulk: a relaxed CeHoP2Ir5 crystal (PBE).

Cell: 4.0320 4.0320 10.9818 Å, 90.00 90.00 90.00°
Closest atoms and distances in Å follow each position.
Element x y z (fractional)
1 Ce 0.0000 0.0000 0.0000  4 Ir 2.85
2 Ho 0.0000 0.0000 0.5000  8 Ir 2.94
3 P 0.5000 0.5000 0.2093  5 Ir 2.27-2.30
4 P 0.5000 0.5000 0.7907  5 Ir 2.27-2.30
5 Ir 0.0000 0.5000 0.3045  2 P 2.27
6 Ir 0.0000 0.5000 0.6955  2 P 2.27
7 Ir 0.5000 0.0000 0.3045  2 P 2.27
8 Ir 0.5000 0.0000 0.6955  2 P 2.27
9 Ir 0.5000 0.5000 0.0000  2 P 2.30

## Properties
Total energy, eV/f.u.: -71.49
Volume, Å³/cell: 178.53
E_form, eV per atom: -0.650

***

# 7
Entry from Alexandria via LeMat-Bulk: a relaxed Ce2HoP3Ir12 crystal (PBE).

Cell: 6.7891 6.7891 6.7891 Å, 82.88 82.88 82.88°
Closest atoms and distances in Å follow each position.
Element x y z (fractional)
1 Ce 0.1196 0.1196 0.1196  3 Ir 2.53
2 Ce 0.8804 0.8804 0.8804  3 Ir 2.53
3 Ho 0.5000 0.5000 0.5000  6 Ir 2.72
4 P 0.0000 0.5000 0.5000  2 Ir 2.27
5 P 0.5000 0.0000 0.5000  2 Ir 2.27
6 P 0.5000 0.5000 0.0000  2 Ir 2.27
7 Ir 0.1336 0.1336 0.6018  2 P 2.58, 1 Ir 2.70
8 Ir 0.1336 0.6018 0.1336  2 P 2.58, 1 Ir 2.70
9 Ir 0.1561 0.6807 0.6807  1 P 2.27, 1 Ce 2.53
10 Ir 0.3193 0.3193 0.8439  1 P 2.27, 1 Ce 2.53
11 Ir 0.3193 0.8439 0.3193  1 P 2.27, 1 Ce 2.53
12 Ir 0.3982 0.8664 0.8664  2 P 2.58, 1 Ir 2.70
13 Ir 0.6018 0.1336 0.1336  2 P 2.58, 1 Ir 2.70
14 Ir 0.6808 0.1561 0.6808  1 P 2.27, 1 Ce 2.53
15 Ir 0.6808 0.6807 0.1561  1 P 2.27, 1 Ce 2.53
16 Ir 0.8439 0.3193 0.3193  1 P 2.27, 1 Ce 2.53
17 Ir 0.8664 0.3982 0.8664  2 P 2.58, 1 Ir 2.70
18 Ir 0.8664 0.8664 0.3982  2 P 2.58, 1 Ir 2.70

## Properties
Total energy, eV/f.u.: -142.56
Volume, Å³/cell: 306.23
E_form, eV per atom: -0.197

***

# 8
Entry from Alexandria via LeMat-Bulk: a relaxed CeHoIrPd crystal (PBE).

Cell: 4.1750 5.8986 5.8986 Å, 37.70 90.00 90.00°
Closest atoms and distances in Å follow each position.
Element x y z (fractional)
1 Ce 0.0000 0.0000 0.0000  4 Ir 2.86, 3 Pd 3.12
2 Ho 0.5000 0.2764 0.2764  4 Pd 2.89, 1 Ir 2.91
3 Ir 0.5000 0.5370 0.5370  4 Ce 2.86, 1 Ho 2.91, 2 Pd 2.93
4 Pd 0.0000 0.7210 0.7210  4 Ho 2.89, 2 Ir 2.93, 3 Ce 3.12

## Properties
Total energy, eV/f.u.: -28.00
Energy above the most stable polymorph in this dataset, kcal/mol of atoms: 0.00
Volume, Å³/cell: 88.83
E_form, eV per atom: -0.859

***

# 9
Entry from Alexandria via LeMat-Bulk: a relaxed CeHoIrPd crystal (PBE).

Cell: 4.9471 4.9471 4.9471 Å, 60.00 60.00 60.00°
Closest atoms and distances in Å follow each position.
Element x y z (fractional)
1 Ce 0.0000 0.0000 0.0000  4 Ir 3.03, 4 Pd 3.03
2 Ho 0.5000 0.5000 0.5000  4 Ir 3.03, 4 Pd 3.03
3 Ir 0.7500 0.7500 0.7500  4 Ce 3.03, 4 Ho 3.03
4 Pd 0.2500 0.2500 0.2500  4 Ce 3.03, 4 Ho 3.03

## Properties
Total energy, eV/f.u.: -27.62
Energy above the most stable polymorph in this dataset, kcal/mol of atoms: 2.20
Volume, Å³/cell: 85.61
E_form, eV per atom: -0.764

***

# 10
Entry from Alexandria via LeMat-Bulk: a relaxed CeHoIrRu crystal (PBE).

Cell: 4.8668 4.8668 4.8668 Å, 60.00 60.00 60.00°
Closest atoms and distances in Å follow each position.
Element x y z (fractional)
1 Ce 0.0000 0.0000 0.0000  4 Ru 2.98, 4 Ir 2.98
2 Ho 0.5000 0.5000 0.5000  4 Ru 2.98, 4 Ir 2.98
3 Ir 0.2500 0.2500 0.2500  4 Ho 2.98, 4 Ce 2.98
4 Ru 0.7500 0.7500 0.7500  4 Ho 2.98, 4 Ce 2.98

## Properties
Total energy, eV/f.u.: -30.88
Energy above the most stable polymorph in this dataset, kcal/mol of atoms: 0.36
Volume, Å³/cell: 81.51
E_form, eV per atom: -0.558

***

# 11
Entry from Alexandria via LeMat-Bulk: a relaxed CeHoIrRu crystal (PBE).

Cell: 3.4867 3.4867 6.7014 Å, 90.00 90.00 90.00°
Closest atoms and distances in Å follow each position.
Element x y z (fractional)
1 Ce 0.0000 0.0000 0.0000  4 Ru 2.94, 4 Ir 2.95
2 Ho 0.0000 0.0000 0.5016  4 Ir 3.00, 4 Ru 3.03, 2 Ce 3.34-3.36
3 Ir 0.5000 0.5000 0.7576  4 Ce 2.95, 4 Ho 3.00, 1 Ru 3.22
4 Ru 0.5000 0.5000 0.2377  4 Ce 2.94, 4 Ho 3.03, 1 Ir 3.22

## Properties
Total energy, eV/f.u.: -30.94
Energy above the most stable polymorph in this dataset, kcal/mol of atoms: 0.00
Volume, Å³/cell: 81.47
E_form, eV per atom: -0.573

***

# 12
Entry from Alexandria via LeMat-Bulk: a relaxed CeHoIrSe crystal (PBE).

Cell: 7.5607 7.5607 7.5607 Å, 30.73 30.73 30.73°
Closest atoms and distances in Å follow each position.
Element x y z (fractional)
1 Ce 0.0000 0.0000 0.0000  3 Ir 2.77
2 Ho 0.1869 0.1869 0.1869  3 Ir 2.83, 3 Se 3.03
3 Ir 0.5959 0.5959 0.5959  3 Ce 2.77, 3 Ho 2.83
4 Se 0.4294 0.4294 0.4294  3 Ho 3.03, 3 Ce 3.11

## Properties
Total energy, eV/f.u.: -27.71
Formation energy from raw total energies, eV/atom: -1.21
Volume, Å³/cell: 100.09